The following is a PBE-GGA calculation of crystalline ZnAg5Au6 at its relaxed geometry, from the Alexandria database.

Lattice parameters (Å, degrees): 4.124 8.214 6.631 90.00 70.61 90.00
Fractional positions:
Zn 0.000 0.000 0.000
Au 0.835 0.753 0.330
Au 0.835 0.247 0.330
Au 0.500 0.241 0.000
Au 0.500 0.759 0.000
Au 0.165 0.753 0.670
Au 0.165 0.247 0.670
Ag 0.667 0.500 0.668
Ag 0.336 0.000 0.331
Ag 0.000 0.500 0.000
Ag 0.664 0.000 0.669
Ag 0.333 0.500 0.332

Properties
Mass density, Mg/m³: 14.00
Space-group type: P2/m, No. 10
Energy above the most stable polymorph in this dataset, eV/atom: 0.000
Crystal system: monoclinic

=====

The following is a PBE-GGA calculation of crystalline Zn4Ag6Au at its relaxed geometry, from the Alexandria database.

Lattice parameters (Å, degrees): 7.968 7.968 7.968 57.25 140.40 140.40
Fractional positions:
Zn 0.000 0.074 0.640
Zn 0.434 0.360 0.360
Zn 0.000 0.640 0.074
Zn 0.566 0.926 0.926
Ag 0.000 0.874 0.463
Ag 0.000 0.463 0.874
Ag 0.589 0.126 0.126
Ag 0.500 0.000 0.500
Ag 0.411 0.537 0.537
Ag 0.500 0.500 0.000
Au 0.000 0.000 0.000

Properties
Mass density, Mg/m³: 9.01
Space-group type: I-42m, No. 121
Crystal system: tetragonal

=====

The following is a PBE-GGA calculation of crystalline ZnAg3Au6 at its relaxed geometry, from the Alexandria database.

Lattice parameters (Å, degrees): 5.021 9.091 9.091 117.87 90.00 90.00
Fractional positions:
Zn 0.141 0.218 0.782
Zn 0.641 0.782 0.218
Ag 0.445 0.943 0.742
Ag 0.945 0.742 0.943
Ag 0.076 0.390 0.610
Ag 0.576 0.610 0.390
Ag 0.945 0.057 0.258
Ag 0.445 0.258 0.057
Au 0.034 0.703 0.610
Au 0.534 0.610 0.703
Au 0.363 0.549 0.964
Au 0.863 0.964 0.549
Au 0.450 0.941 0.059
Au 0.633 0.282 0.718
Au 0.133 0.718 0.282
Au 0.950 0.059 0.941
Au 0.363 0.036 0.451
Au 0.863 0.451 0.036
Au 0.034 0.390 0.297
Au 0.534 0.297 0.390

Properties
Mass density, Mg/m³: 14.22
Space-group type: Cmc2_1, No. 36
Energy above the most stable polymorph in this dataset, eV/atom: 0.073
Crystal system: orthorhombic

=====

Number 1: formation energy from the elements -66 meV/atom, D(E_F) 3.78 states/eV per cell. Number 2: formation energy from the elements 61 meV/atom, D(E_F) 2.55 states/eV per cell. Number 3: formation energy from the elements 1 meV/atom, D(E_F) 5.65 states/eV per cell.